# Sb3PPd

A relaxed structure of Sb3PPd (PBE, Alexandria).

Calculated values
Energy ... -3.913 eV per atom
ΔE_f (raw) ... 0.681 eV/atom

POSCAR file:
```
Sb3PPd
1.0
5.1793 0.0000 0.0000
0.0000 5.1793 0.0000
0.0000 0.0000 5.1793
Sb P Pd
3 1 1
Direct
0.0000 0.0000 0.5000
0.0000 0.5000 0.0000
0.5000 0.0000 0.0000
0.5000 0.5000 0.5000
0.0000 0.0000 0.0000
```